Entry 1:
Computed, not measured: crystalline Np2CrNi3P4 at its relaxed geometry at the PBE level of DFT.

Values from the calculation:
DOS(E_F) in states/eV per cell: 19.5
Space group: P-4m2
Mass density in g cm⁻³: 9.47
Total moment in μB/atom: 0.643
DFT formation energy in eV/atom: -0.66

Geometry as extended XYZ:
```
10
Lattice="3.992 0.000 0.000 0.000 3.992 0.000 0.000 0.000 9.091" Properties=species:S:1:pos:R:3 pbc="T T T"
Cr 1.996 1.996 4.546
P 0.000 0.000 0.000
P 1.996 0.000 5.796
P 1.996 1.996 0.000
P 0.000 1.996 3.295
Np 0.000 1.996 6.887
Np 1.996 0.000 2.205
Ni 0.000 1.996 1.031
Ni 0.000 0.000 4.546
Ni 1.996 0.000 8.060
```

---

Entry 2:
Computed, not measured: crystalline NpCrNiS3 at its relaxed geometry at the PBE level of DFT.

Values from the calculation:
DOS(E_F) in states/eV per cell: 18.7
Space group: P2_1/m
Mass density in g cm⁻³: 7.24
Total moment in μB/atom: 1.137
ΔE_f (raw) in eV per atom: -0.835

Geometry as extended XYZ:
```
12
Lattice="3.661 0.000 0.000 0.000 7.081 -0.038 0.000 -1.926 7.866" Properties=species:S:1:pos:R:3 pbc="T T T"
Cr 2.746 0.731 6.498
Cr 0.915 4.425 1.331
S 0.915 2.377 6.716
S 2.746 0.751 4.096
S 0.915 -0.974 6.845
S 0.915 4.405 3.733
S 2.746 6.130 0.983
S 2.746 2.779 1.113
Ni 2.746 5.630 3.151
Ni 0.915 -0.475 4.678
Np 0.915 0.905 1.967
Np 2.746 4.251 5.862
```